(1)
NbCrMo2Pd | GGA-PBE | relaxed

The total magnetization comes out at 0.00 μB per formula unit. Its energy is -8.3121 eV/atom. As for the formation energy from the elements: 5.0 eV/f.u. Its volume is 17.95 Å³ per atom.

The structure belongs to space group P4/mmm (No. 123); the cell edges are 4.437, 4.437 and 4.559 Å and the angles 90.00°, 90.00° and 90.00°. The inequivalent atoms are Nb at (0.000, 0.000, 0.000), Cr at (0.000, 0.000, 0.500), Mo at (0.000, 0.500, 0.500) and Pd at (0.500, 0.500, 0.000).

(2)
RbNa3Cd4F12 | GGA-PBE | relaxed

The value obtained for the formation energy from raw total energies is -2.419 eV per atom. The total magnetization comes out at 0.00 μB per formula unit. Its energy is -3.9715 eV/atom. Its volume is 15.72 Å³ per atom.

The structure belongs to space group Im-3 (No. 204); the cell edges are 8.568, 8.568 and 8.568 Å and the angles 90.00°, 90.00° and 90.00°. The inequivalent atoms are Rb at (0.000, 0.000, 0.000), Na at (0.000, 0.000, 0.500), Cd at (0.250, 0.250, 0.250) and F at (0.000, 0.184, 0.306).

(3)
AsP2Ir | GGA-PBE | relaxed

The total magnetization comes out at 0.00 μB per formula unit. Its energy is -6.1540 eV/atom. As for the formation energy from the elements: -0.3 eV/f.u. Its volume is 20.02 Å³ per atom.

The structure belongs to space group I-42d (No. 122); the cell edges are 5.557, 5.557 and 10.373 Å and the angles 90.00°, 90.00° and 90.00°. The inequivalent atoms are As at (0.000, 0.000, 0.000), P at (0.222, 0.250, 0.625) and Ir at (0.000, 0.000, 0.500).

(4)
Y3Ga3Pt2 | GGA-PBE | relaxed

The total magnetization comes out at 0.00 μB per formula unit. Its energy is -6.0151 eV/atom. As for the formation energy from the elements: -7.6 eV/f.u. Its volume is 21.23 Å³ per atom.

The structure belongs to space group Pnma (No. 62); the cell edges are 8.107, 14.819 and 5.655 Å and the angles 90.00°, 90.00° and 90.00°. The inequivalent atoms are Y at (0.042, 0.111, 0.123), Y at (0.187, 0.250, 0.635), Ga at (0.166, 0.750, 0.632), Ga at (0.189, 0.036, 0.614) and Pt at (0.094, 0.608, 0.374).